Y2TaBr | PBE | relaxed

Cell: 4.9229 4.9229 8.4033 Å, 90.00 90.00 90.00°
Space group I4/mmm (No. 139)
Symmetry-distinct sites (fractional):
Y  0.0000  0.5000  0.2500 [4 per cell]
Ta  0.0000  0.0000  0.0000 [2 per cell]
Br  0.0000  0.0000  0.5000 [2 per cell]

Summary:
relative energy among the computed polymorphs	680.0	meV/atom
density of states at the Fermi level	10.83	states/eV per cell
total DFT energy (no corrections)	-0.457	Ry per atom
ρ	7.153	g/cm3
magnetic moment	1.91	μB per formula unit
crystal system	tetragonal
raw formation energy	0.400	eV/atom

LiBeAlF6 | PBE | relaxed

Cell: 4.7097 4.7097 9.0205 Å, 90.00 90.00 120.00°
Space group P-31c (No. 163)
Symmetry-distinct sites (fractional):
Li  0.0000  0.0000  0.0000 [2 per cell]
Be  0.3333  0.6667  0.2500 [2 per cell]
Al  0.3333  0.6667  0.7500 [2 per cell]
F  0.0082  0.3654  0.1412 [12 per cell]

Summary:
density of states at the Fermi level	0.00	states/eV per cell
total DFT energy (no corrections)	-0.406	Ry per atom
ρ	3.008	g/cm3
magnetic moment	0.00	μB per formula unit
crystal system	trigonal
raw formation energy	-3.227	eV/atom

TbSmSiGe | PBE | relaxed

Cell: 3.9435 4.3604 10.7816 Å, 90.00 90.00 90.00°
Space group Amm2 (No. 38)
Symmetry-distinct sites (fractional):
Tb  0.0000  0.0000  0.0000 [2 per cell]
Sm  0.5000  0.0000  0.7216 [2 per cell]
Si  0.5000  0.0000  0.4423 [2 per cell]
Ge  0.0000  0.0000  0.2838 [2 per cell]

Summary:
density of states at the Fermi level	5.56	states/eV per cell
total DFT energy (no corrections)	-0.417	Ry per atom
ρ	7.345	g/cm3
magnetic moment	0.00	μB per formula unit
crystal system	orthorhombic
raw formation energy	-0.829	eV/atom

TlTcF2 | PBE | relaxed

Cell: 3.0266 3.0266 25.4028 Å, 90.00 90.00 120.00°
Space group R-3m (No. 166, hexagonal axes)
Symmetry-distinct sites (fractional):
Tl  0.0000  0.0000  0.0000 [3 per cell]
Tc  0.0000  0.0000  0.5000 [3 per cell]
F  0.0000  0.0000  0.1003 [6 per cell]

Summary:
relative energy among the computed polymorphs	358.6	meV/atom
density of states at the Fermi level	11.54	states/eV per cell
total DFT energy (no corrections)	-0.346	Ry per atom
ρ	8.414	g/cm3
magnetic moment	2.89	μB per formula unit
crystal system	trigonal
raw formation energy	-0.592	eV/atom

K3RbNa | PBE | relaxed

Cell: 7.2653 7.2653 7.2653 Å, 90.00 90.00 90.00°
Space group Pm-3m (No. 221)
Symmetry-distinct sites (fractional):
K  0.0000  0.0000  0.5000 [3 per cell]
Rb  0.5000  0.5000  0.5000 [1 per cell]
Na  0.0000  0.0000  0.0000 [1 per cell]

Summary:
relative energy among the computed polymorphs	55.1	meV/atom
density of states at the Fermi level	3.83	states/eV per cell
total DFT energy (no corrections)	-0.076	Ry per atom
calculated formation energy	0.084	eV/atom
ρ	0.978	g/cm3
magnetic moment	0.00	μB per formula unit
crystal system	cubic

SmGeIN2 | PBE | relaxed

Cell: 7.5976 4.1159 7.5977 Å, 90.00 115.76 90.00°
Space group P2_1/m (No. 11)
Symmetry-distinct sites (fractional):
Sm  0.0530  0.2500  0.3361 [2 per cell]
Ge  0.4091  0.7500  0.5700 [2 per cell]
I  0.2523  0.2500  0.0099 [2 per cell]
N  0.1460  0.7500  0.5005 [2 per cell]
N  0.4264  0.2500  0.5568 [2 per cell]

Summary:
total DFT energy (no corrections)	-0.451	Ry per atom
ρ	5.866	g/cm3
magnetic moment	0.00	μB per formula unit
crystal system	monoclinic
raw formation energy	-0.629	eV/atom